Pr2Ho2Er: optimized geometry, PBE.

The structure belongs to space group C2/m (No. 12); the cell edges are 6.2188, 3.5933 and 14.6957 Å and the angles 90.00°, 90.11° and 90.00°. The distinct sites, in fractional coordinates, are Pr at (0.1691, 0.0000, 0.3930), Ho at (0.1650, 0.0000, 0.8075) and Er at (0.0000, 0.5000, 0.0000).

Its energy relative to the lowest polymorph listed for this composition is 0.000 eV per atom. The total energy is -46.26 eV/cell. The value obtained for the calculated formation energy is 29.1 meV per atom. As for the total magnetization: 0.00 μB/f.u.

=====

PrHo2Er6: optimized geometry, PBE.

The structure belongs to space group Cmmm (No. 65); the cell edges are 5.5875, 28.9812 and 3.4636 Å and the angles 90.00°, 90.00° and 90.00°. The distinct sites, in fractional coordinates, are Pr at (0.0000, 0.0000, 0.0000), Ho at (0.0000, 0.3327, 0.0000), Er at (0.0000, 0.1131, 0.5000), Er at (0.0000, 0.2231, 0.5000) and Er at (0.0000, 0.4431, 0.5000).

Its energy relative to the lowest polymorph listed for this composition is 0.051 eV per atom. The total energy is -81.27 eV/cell. The value obtained for the calculated formation energy is 75.3 meV per atom. As for the total magnetization: 0.00 μB/f.u.

=====

Pr3HoEr4: optimized geometry, PBE.

The structure belongs to space group Pmn2_1 (No. 31); the cell edges are 11.4683, 7.3233 and 6.2923 Å and the angles 90.00°, 90.00° and 90.00°. The distinct sites, in fractional coordinates, are Pr at (0.0000, 0.1285, 0.0000), Pr at (0.2497, 0.1274, 0.3367), Ho at (0.0000, 0.8684, 0.4990), Er at (0.0000, 0.3795, 0.5014), Er at (0.0000, 0.6203, 0.0025) and Er at (0.2478, 0.6204, 0.3353).

Its energy relative to the lowest polymorph listed for this composition is 0.000 eV per atom. The total energy is -73.94 eV/cell. The value obtained for the calculated formation energy is 24.9 meV per atom. As for the total magnetization: 0.00 μB/f.u.